[1]
Material: Co2SiHg
Method: DFT, PBE-GGA
State: relaxed

The uncorrected formation energy comes out at 1.362 eV per formula unit. The density comes out at 9.853 g cm⁻³. The calculation puts the energy above the most stable polymorph in this dataset at 1.754 eV/f.u.

It has space group I-42d (No. 122), with a = 6.612 Å, b = 6.612 Å, c = 5.343 Å, α = 90.00°, β = 90.00° and γ = 90.00°. The asymmetric unit holds Co at (0.196, 0.750, 0.125), Si at (0.000, 0.000, 0.000) and Hg at (0.000, 0.000, 0.500).

---

[2]
Material: FeRu2Cl
Method: DFT, PBE-GGA
State: relaxed

The uncorrected formation energy comes out at 3.543 eV per formula unit. The density comes out at 8.783 g cm⁻³. The calculation puts the energy above the most stable polymorph in this dataset at 2.328 eV/f.u.

It has space group Fm-3m (No. 225), with a = 6.054 Å, b = 6.054 Å, c = 6.054 Å, α = 90.00°, β = 90.00° and γ = 90.00°. The asymmetric unit holds Fe at (0.000, 0.000, 0.000), Ru at (0.250, 0.250, 0.250) and Cl at (0.000, 0.000, 0.500).

---

[3]
Material: HfTa5
Method: DFT, PBE-GGA
State: relaxed

The density comes out at 15.898 g cm⁻³. As for the formation energy: 5.9 kJ/mol of atoms.

It has space group Cmmm (No. 65), with a = 4.744 Å, b = 14.176 Å, c = 3.365 Å, α = 90.00°, β = 90.00° and γ = 90.00°. The asymmetric unit holds Hf at (0.000, 0.000, 0.000), Ta at (0.000, 0.175, 0.500), Ta at (0.000, 0.336, 0.000) and Ta at (0.000, 0.500, 0.500).

---

[4]
Material: Cs2TlAsCl6
Method: DFT, PBE-GGA
State: relaxed

The uncorrected formation energy comes out at -13.148 eV per formula unit. The density comes out at 3.641 g cm⁻³. The calculation puts the energy above the most stable polymorph in this dataset at 0.000 eV/f.u.

It has space group P2_1/c (No. 14), with a = 7.854 Å, b = 7.884 Å, c = 13.631 Å, α = 90.00°, β = 125.01° and γ = 90.00°. The asymmetric unit holds Cs at (0.243, 0.031, 0.249), Tl at (0.500, 0.000, 0.000), As at (0.000, 0.000, 0.500), Cl at (0.170, 0.244, 0.978), Cl at (0.231, 0.693, 0.976) and Cl at (0.268, 0.003, 0.724).

---

[5]
Material: EuMgAg2
Method: DFT, PBE-GGA
State: relaxed

The density comes out at 7.054 g cm⁻³. As for the formation energy: -23.1 kJ/mol of atoms.

It has space group P4/mmm (No. 123), with a = 3.573 Å, b = 3.573 Å, c = 7.227 Å, α = 90.00°, β = 90.00° and γ = 90.00°. The asymmetric unit holds Eu at (0.000, 0.000, 0.000), Mg at (0.000, 0.000, 0.500) and Ag at (0.500, 0.500, 0.296).

---

[6]
Material: Pr2Dy3Ag3
Method: DFT, PBE-GGA
State: relaxed

The density comes out at 8.372 g cm⁻³. As for the formation energy: -17.7 kJ/mol of atoms.

It has space group Immm (No. 71), with a = 3.733 Å, b = 5.285 Å, c = 21.977 Å, α = 90.00°, β = 90.00° and γ = 90.00°. The asymmetric unit holds Pr at (0.000, 0.000, 0.229), Dy at (0.000, 0.000, 0.000), Dy at (0.000, 0.500, 0.117), Ag at (0.000, 0.000, 0.500) and Ag at (0.000, 0.500, 0.389).